First-principles (PBE) data for a geometry-optimized AgOs2Pt structure, as listed in OQMD via LeMat-Bulk.

Calculated values
As for the formation energy: 766 meV per atom. The value obtained for the total moment is 3.5 μB/cell. As for the theoretical density: 18.22 Mg/m³. The calculation puts the calculated volume at 249.2 Å³ per cell.

a = 6.2926 Å, b = 6.2926 Å, c = 6.2926 Å
α = 90.00°, β = 90.00°, γ = 90.00°
Space group F-43m (No. 216)
Asymmetric unit:
Ag 0.0000 0.0000 0.0000 x4
Os 0.0000 0.0000 0.5000 x4
Os 0.2500 0.2500 0.2500 x4
Pt 0.2500 0.2500 0.7500 x4